Here is Ce5Nd2Ru3 after structural relaxation from Alexandria via LeMat-Bulk. Energies are from GGA-PBE.

POSCAR file:
```
Ce5Nd2Ru3
1.0
6.119 -0.465 -0.943
-1.711 8.999 -2.496
-0.464 -0.470 9.603
Ru Ce Nd
6 10 4
direct
0.100 0.810 0.519
0.610 0.517 0.811
0.254 0.004 0.998
0.900 0.190 0.481
0.746 0.996 0.002
0.390 0.483 0.189
0.273 0.466 0.490
0.079 0.261 0.124
0.727 0.534 0.510
0.596 0.165 0.265
0.404 0.835 0.735
0.029 0.981 0.285
0.921 0.739 0.876
0.472 0.725 0.031
0.528 0.275 0.969
0.971 0.019 0.715
0.542 0.821 0.397
0.067 0.405 0.806
0.933 0.595 0.194
0.458 0.179 0.603
```

magnetization = 0.774 μB/f.u.
E_form = -0.1928 eV/atom
Fermi-level density of states = 2.044 states/eV/atom